Nd4Mg3Tl, relaxed, DFT GGA-PBE; energy relative to the elements = -0.19 eV/atom; calculated density = 6.0 g cm⁻³; crystal system = trigonal; D(E_F) = 9.16 states/eV per cell; SG = R-3m, No. 166; calculated total energy = -3.464 eV per atom
1.0
2.7467 1.5858 8.9951
-2.7467 1.5858 8.9951
0.0000 -3.1716 8.9951
Nd Mg Tl
4 3 1
direct
0.1246 0.1246 0.1246 Nd
0.3747 0.3747 0.3747 Nd
0.6253 0.6253 0.6253 Nd
0.8754 0.8754 0.8754 Nd
0.0000 0.0000 0.0000 Mg
0.2522 0.2522 0.2522 Mg
0.7478 0.7478 0.7478 Mg
0.5000 0.5000 0.5000 Tl



TiNbTl2, relaxed, DFT GGA-PBE; energy relative to the elements = 0.43 eV/atom; calculated density = 11.2 g cm⁻³; crystal system = cubic; D(E_F) = 19.09 states/eV per cell; SG = Fm-3m, No. 225; calculated total energy = -5.242 eV per atom
1.0
6.8753 0.0000 0.0000
0.0000 6.8753 0.0000
0.0000 0.0000 6.8753
Ti Nb Tl
4 4 8
direct
0.0000 0.0000 0.0000 Ti
0.0000 0.5000 0.5000 Ti
0.5000 0.0000 0.5000 Ti
0.5000 0.5000 0.0000 Ti
0.0000 0.0000 0.5000 Nb
0.0000 0.5000 0.0000 Nb
0.5000 0.0000 0.0000 Nb
0.5000 0.5000 0.5000 Nb
0.2500 0.2500 0.2500 Tl
0.2500 0.2500 0.7500 Tl
0.2500 0.7500 0.2500 Tl
0.2500 0.7500 0.7500 Tl
0.7500 0.2500 0.2500 Tl
0.7500 0.2500 0.7500 Tl
0.7500 0.7500 0.2500 Tl
0.7500 0.7500 0.7500 Tl



TlIrSe2, relaxed, DFT GGA-PBE; calculated density = 8.9 g cm⁻³; crystal system = tetragonal; D(E_F) = 4.63 states/eV per cell; energy relative to the elements, uncorrected = -130 meV/atom; SG = I-42d, No. 122; calculated total energy = -4.679 eV per atom
1.0
7.5787 0.0000 0.0000
0.0000 7.5787 0.0000
0.0000 0.0000 7.1927
Tl Ir Se
4 4 8
direct
0.0000 0.0000 0.0000 Tl
0.0000 0.5000 0.2500 Tl
0.5000 0.0000 0.7500 Tl
0.5000 0.5000 0.5000 Tl
0.0000 0.0000 0.5000 Ir
0.0000 0.5000 0.7500 Ir
0.5000 0.0000 0.2500 Ir
0.5000 0.5000 0.0000 Ir
0.1523 0.2500 0.6250 Se
0.2500 0.6523 0.8750 Se
0.2500 0.8477 0.3750 Se
0.3477 0.2500 0.1250 Se
0.6523 0.7500 0.1250 Se
0.7500 0.1523 0.3750 Se
0.7500 0.3477 0.8750 Se
0.8477 0.7500 0.6250 Se



Pm8Ir3CBr4, relaxed, DFT GGA-PBE; calculated density = 7.8 g cm⁻³; crystal system = trigonal; D(E_F) = 8.52 states/eV per cell; energy relative to the elements, uncorrected = -996 meV/atom; SG = R-3m, No. 166; calculated total energy = -6.028 eV per atom
1.0
4.0810 2.3561 7.6693
-4.0810 2.3561 7.6693
0.0000 -4.7123 7.6693
Pm Ir C Br
8 3 1 4
direct
0.2334 0.2334 0.2334 Pm
0.2458 0.7197 0.7197 Pm
0.2803 0.2803 0.7542 Pm
0.2803 0.7542 0.2803 Pm
0.7197 0.2458 0.7197 Pm
0.7197 0.7197 0.2458 Pm
0.7542 0.2803 0.2803 Pm
0.7666 0.7666 0.7666 Pm
0.0000 0.0000 0.5000 Ir
0.0000 0.5000 0.0000 Ir
0.5000 0.0000 0.0000 Ir
0.5000 0.5000 0.5000 C
0.0000 0.0000 0.0000 Br
0.0000 0.5000 0.5000 Br
0.5000 0.0000 0.5000 Br
0.5000 0.5000 0.0000 Br